Ba2InSnIr PBE optimized geometry; E_form = -0.249 eV per atom; DOS(E_F) = 4.94 states/eV/cell; total energy = -4.139 eV per atom; space group = No. 123
1.0
-4.9808 3.0668 -1.8031
-3.4424 -4.9379 1.1105
-0.7496 1.6003 4.7924
Ba Ir In Sn
2 1 1 1
Cartesian
-2.4904 1.5334 -0.9016 Ba
-1.7212 -2.4689 0.5552 Ba
0.0000 0.0000 0.0000 Ir
-4.5864 -0.1354 2.0499 In
-0.3748 0.8002 2.3962 Sn